{"formula": "LaScIn2", "functional": "PBE-GGA", "state": "optimized geometry", "lattice": [[-1.995, -2.480, 2.432], [3.170, -2.446, 0.105], [2.474, 3.443, 5.541]], "species": ["In", "In", "La", "Sc"], "fractional_positions": [[0.500, 0.500, 0.229], [0.000, 0.000, 0.984], [0.000, 0.000, 0.497], [0.500, 0.500, 0.790]], "formation_energy_kcal_per_mol_atoms": -4.1, "density_g_cm3": 6.1, "n_ef_per_ev_fu": 4.7}